Here is Sb2TeRh after structural relaxation from the Alexandria database. Energies are from PBE-GGA.

The structure belongs to space group Imm2 (No. 44); the cell edges are 3.575, 4.571 and 12.214 Å and the angles 90.00°, 90.00° and 90.00°. Symmetry generates all atoms from Sb at (0.000, 0.000, 0.000), Sb at (0.000, 0.500, 0.168), Te at (0.000, 0.500, 0.820) and Rh at (0.000, 0.000, 0.492).

Its density of states at the Fermi level is 5.498 states/eV/cell. As for the uncorrected formation energy: -0.030 eV per atom. The mass density is 7.9 Mg/m³. The calculation puts the total magnetization at 0.000 μB/f.u.